Material: Nd6Dy8Sc
Method: DFT, GGA-PBE
State: relaxed

Values from the calculation:
Density of states at the Fermi level: 22.05 states/eV/cell
Crystal system: trigonal
Energy of formation: 114 meV/atom
Size of the total moment: 0.00 μB/f.u.
SG: R-3, No. 148
Volume: 33.055 Å³ per atom

abc: 8.686 8.686 8.686
angles: 63.16 63.16 63.16
Positions (direct):
Nd 0.041 0.728 0.601
Nd 0.272 0.399 0.959
Nd 0.399 0.959 0.272
Nd 0.601 0.041 0.728
Nd 0.728 0.601 0.041
Nd 0.959 0.272 0.399
Dy 0.077 0.077 0.077
Dy 0.218 0.252 0.612
Dy 0.252 0.612 0.218
Dy 0.388 0.782 0.748
Dy 0.612 0.218 0.252
Dy 0.748 0.388 0.782
Dy 0.782 0.748 0.388
Dy 0.923 0.923 0.923
Sc 0.500 0.500 0.500